RbNaPr2Se4 | PBE | relaxed

a = 8.9164 Å, b = 8.9164 Å, c = 8.7966 Å
α = 119.56°, β = 119.56°, γ = 90.17°
With the nearest neighbours (Å) after each atom.
Fractional coordinates of all 16 atoms:
Se 0.7139 0.2341 0.9740  3 Pr 2.99-3.04, 1 Na 3.29, 2 Rb 3.32
Rb 0.0000 0.5000 0.5000  6 Se 3.31-3.32
Se 0.2861 0.7659 0.0260  3 Pr 2.99-3.04, 1 Na 3.29, 2 Rb 3.32
Se 0.2659 0.7861 0.5260  3 Pr 2.99-3.04, 1 Na 3.29, 2 Rb 3.32
Pr 0.0000 0.0000 0.5000  6 Se 3.04-3.06
Se 0.7378 0.7621 0.0154  3 Pr 3.01-3.06, 2 Na 3.25, 1 Rb 3.31
Se 0.7379 0.7622 0.4846  3 Pr 3.01-3.06, 2 Na 3.25, 1 Rb 3.31
Pr 0.5000 0.5000 0.0000  6 Se 3.04-3.06
Na 0.0000 0.0000 0.0000  6 Se 3.25-3.29
Rb 0.0000 0.5000 0.0000  6 Se 3.31-3.32
Pr 0.5000 0.0000 0.0000  6 Se 2.99-3.01
Pr 0.5000 0.0000 0.5000  6 Se 2.99-3.01
Se 0.7341 0.2139 0.4740  3 Pr 2.99-3.04, 1 Na 3.29, 2 Rb 3.32
Se 0.2621 0.2378 0.5154  3 Pr 3.01-3.06, 2 Na 3.25, 1 Rb 3.31
Se 0.2622 0.2379 0.9846  3 Pr 3.01-3.06, 2 Na 3.25, 1 Rb 3.31
Na 0.5000 0.5000 0.5000  6 Se 3.25-3.29

Energy   -78.22 eV for the cell shown
ΔE_f (raw)   -1.666 eV/atom